# 1
Density functional theory data (PBE) for an optimized crystal structure of AlZn2Tc.

Properties
Volume, Å³/cell: 59
Theoretical density, kg/m³: 7214

abc: 3.257 3.257 5.549
angles: 90.00 90.00 90.00
Atoms (fractional coordinates):
Tc (0.500, 0.500, 0.738)
Zn (0.500, 0.500, 0.243)
Zn (0.000, 0.000, 0.995)
Al (0.000, 0.000, 0.525)


# 2
Density functional theory data (PBE) for an optimized crystal structure of Pr3InPd.

Properties
Volume, Å³/cell: 296
Theoretical density, kg/m³: 7214

abc: 4.991 7.193 8.435
angles: 101.74 90.00 90.00
Atoms (fractional coordinates):
In (0.043, 0.995, 0.889)
In (0.043, 0.807, 0.471)
Pr (0.543, 0.538, 0.500)
Pr (0.543, 0.082, 0.630)
Pr (0.543, 0.278, 0.045)
Pr (0.043, 0.513, 0.819)
Pr (0.043, 0.215, 0.343)
Pr (0.543, 0.803, 0.173)
Pd (0.543, 0.781, 0.829)
Pd (0.043, 0.531, 0.178)


# 3
Density functional theory data (PBE) for an optimized crystal structure of AcInAgPd3.

Properties
Volume, Å³/cell: 273
Theoretical density, kg/m³: 9353

abc: 7.329 5.975 6.913
angles: 115.60 90.00 90.00
Atoms (fractional coordinates):
Pd (0.500, 0.263, 0.000)
Pd (0.750, 0.855, 0.710)
Pd (0.500, 0.737, 0.000)
Pd (0.000, 0.737, 0.000)
Pd (0.000, 0.263, 0.000)
Pd (0.250, 0.145, 0.290)
Ag (0.250, 0.905, 0.811)
Ag (0.750, 0.095, 0.189)
In (0.250, 0.367, 0.734)
In (0.750, 0.633, 0.266)
Ac (0.250, 0.663, 0.327)
Ac (0.750, 0.337, 0.673)


# 4
Density functional theory data (PBE) for an optimized crystal structure of Sr4ZnAu.

Properties
Volume, Å³/cell: 260
Theoretical density, kg/m³: 3916

abc: 7.163 7.163 7.163
angles: 60.00 60.00 60.00
Atoms (fractional coordinates):
Sr (0.875, 0.375, 0.375)
Sr (0.375, 0.375, 0.375)
Sr (0.375, 0.375, 0.875)
Sr (0.375, 0.875, 0.375)
Zn (0.750, 0.750, 0.750)
Au (0.000, 0.000, 0.000)


# 5
Density functional theory data (PBE) for an optimized crystal structure of Cd2W.

Properties
Volume, Å³/cell: 154
Theoretical density, kg/m³: 8799

abc: 2.644 7.633 7.642
angles: 90.00 90.00 90.00
Atoms (fractional coordinates):
Cd (0.500, 0.760, 0.239)
Cd (0.000, 0.740, 0.739)
Cd (0.000, 0.260, 0.261)
Cd (0.500, 0.240, 0.761)
W (0.000, 0.000, 0.000)
W (0.500, 0.500, 0.500)


# 6
Density functional theory data (PBE) for an optimized crystal structure of Be3CoMo.

Properties
Volume, Å³/cell: 55
Theoretical density, kg/m³: 5509

abc: 3.799 3.799 3.799
angles: 90.00 90.00 90.00
Atoms (fractional coordinates):
Mo (0.500, 0.500, 0.500)
Be (0.000, 0.000, 0.500)
Be (0.500, 0.000, 0.000)
Be (0.000, 0.500, 0.000)
Co (0.000, 0.000, 0.000)


no.,formation energy (meV/atom),VASP energy (eV for the cell shown)
1,-56,-16.88
2,-410,-48.64
3,-413,-55.51
4,508,-8.23
5,934,-23.97
6,473,-26.75